[1]
Computed, not measured: a relaxed InSn3Cl crystal at the PBE-GGA level of DFT.

Calculated values
total magnetization = 0.00 μB/atom
energy relative to the lowest polymorph listed for this composition = 0 meV/atom

Cell lengths 5.4483, 5.4483, 5.4483 Å; angles 90.00, 90.00, 90.00 degrees
Closest atoms and distances in Å follow each position.
Positions (direct):
In (0.0000, 0.0000, 0.0000)  12 Sn 3.85
Sn (0.0000, 0.5000, 0.5000)  2 Cl 2.72
Sn (0.5000, 0.0000, 0.5000)  2 Cl 2.72
Sn (0.5000, 0.5000, 0.0000)  2 Cl 2.72
Cl (0.5000, 0.5000, 0.5000)  6 Sn 2.72

=====

[2]
Computed, not measured: a relaxed In2Sn2Cl crystal at the PBE-GGA level of DFT.

Calculated values
total magnetization = 0.00 μB/atom
energy relative to the lowest polymorph listed for this composition = 62 meV/atom

Cell lengths 8.8969, 8.8969, 3.5368 Å; angles 90.00, 90.00, 90.00 degrees
Closest atoms and distances in Å follow each position.
Positions (direct):
In (0.1712, 0.3288, 0.0000)  6 Sn 3.07-3.23, 2 Cl 3.30
In (0.3288, 0.8288, 0.0000)  6 Sn 3.07-3.23, 2 Cl 3.30
In (0.6712, 0.1712, 0.0000)  6 Sn 3.07-3.23, 2 Cl 3.30
In (0.8288, 0.6712, 0.0000)  6 Sn 3.07-3.23, 2 Cl 3.30
Sn (0.1298, 0.6298, 0.5000)  6 In 3.07-3.23, 1 Sn 3.27
Sn (0.3702, 0.1298, 0.5000)  6 In 3.07-3.23, 1 Sn 3.27
Sn (0.6298, 0.8702, 0.5000)  6 In 3.07-3.23, 1 Sn 3.27
Sn (0.8702, 0.3702, 0.5000)  6 In 3.07-3.23, 1 Sn 3.27
Cl (0.0000, 0.0000, 0.0000)  4 In 3.30, 2 Cl 3.54
Cl (0.5000, 0.5000, 0.0000)  4 In 3.30, 2 Cl 3.54